1.
PBE GdHfAu2, relaxed; electronic total energy = -8.251 eV/atom; DOS(E_F) = 1.07 states/eV/atom; V = 21.72 A^3/atom
1.0
3.440 0.000 0.000
0.000 3.440 0.000
0.000 0.000 7.341
Au Hf Gd
2 1 1
direct
0.000 0.000 0.215
0.000 0.000 0.785
0.500 0.500 0.000
0.500 0.500 0.500

2.
PBE GdHfAu2, relaxed; electronic total energy = -8.206 eV/atom; DOS(E_F) = 0.84 states/eV/atom; V = 22.73 A^3/atom
1.0
4.739 0.000 0.000
2.369 4.104 0.000
2.369 1.368 4.675
Au Hf Gd
2 1 1
direct
0.221 0.221 0.337
0.779 0.779 0.663
0.500 0.500 0.500
0.000 0.000 0.000

3.
PBE GdHfAu, relaxed; electronic total energy = -9.478 eV/atom; DOS(E_F) = 1.30 states/eV/atom; V = 23.56 A^3/atom
1.0
-0.522 -1.548 3.000
2.976 -1.645 -0.331
1.599 6.141 1.501
Au Hf Gd
1 1 1
direct
0.314 0.314 0.629
0.687 0.687 0.374
0.999 0.999 0.997

4.
PBE GdHfHgAu, relaxed; electronic total energy = -7.238 eV/atom; DOS(E_F) = 1.03 states/eV/atom; V = 22.78 A^3/atom
1.0
5.051 0.000 0.000
2.525 4.374 0.000
2.525 1.458 4.124
Hg Hf Au Gd
1 1 1 1
direct
0.500 0.500 0.500
0.250 0.250 0.250
0.000 0.000 0.000
0.750 0.750 0.750

5.
PBE GdHfPdAu, relaxed; electronic total energy = -8.704 eV/atom; DOS(E_F) = 0.67 states/eV/atom; V = 21.01 A^3/atom
1.0
4.917 0.000 0.000
2.458 4.258 0.000
2.458 1.419 4.014
Pd Hf Gd Au
1 1 1 1
direct
0.500 0.500 0.500
0.250 0.250 0.250
0.750 0.750 0.750
0.000 0.000 0.000

6.
PBE GdHfPtAu, relaxed; electronic total energy = -9.089 eV/atom; DOS(E_F) = 0.65 states/eV/atom; V = 20.87 A^3/atom
1.0
4.906 0.000 0.000
2.453 4.249 0.000
2.453 1.416 4.006
Hf Pt Gd Au
1 1 1 1
direct
0.500 0.500 0.500
0.750 0.750 0.750
0.000 0.000 0.000
0.250 0.250 0.250

7.
PBE GdHfRhAu, relaxed; electronic total energy = -9.270 eV/atom; DOS(E_F) = 0.66 states/eV/atom; V = 20.37 A^3/atom
1.0
4.866 0.000 0.000
2.433 4.214 0.000
2.433 1.405 3.973
Au Hf Rh Gd
1 1 1 1
direct
0.000 0.000 0.000
0.250 0.250 0.250
0.500 0.500 0.500
0.750 0.750 0.750

8.
PBE GdHfZnAu, relaxed; electronic total energy = -7.478 eV/atom; DOS(E_F) = 0.99 states/eV/atom; V = 21.35 A^3/atom
1.0
4.943 0.000 0.000
2.471 4.281 0.000
2.471 1.427 4.036
Au Gd Zn Hf
1 1 1 1
direct
0.500 0.500 0.500
0.250 0.250 0.250
0.000 0.000 0.000
0.750 0.750 0.750

9.
PBE GdHgAu, relaxed; electronic total energy = -6.490 eV/atom; DOS(E_F) = 0.52 states/eV/atom; V = 23.39 A^3/atom
1.0
-3.502 0.491 -1.533
0.873 -2.505 -2.796
-0.344 -2.533 4.818
Gd Hg Au
1 1 1
direct
0.945 0.945 0.890
0.620 0.620 0.239
0.285 0.285 0.571

10.
PBE GdHgAu, relaxed; electronic total energy = -6.418 eV/atom; DOS(E_F) = 1.40 states/eV/atom; V = 26.64 A^3/atom
1.0
-0.646 -3.631 3.127
3.547 -3.197 0.759
2.379 -0.018 4.209
Au Hg Gd
1 1 1
direct
0.250 0.250 0.250
0.500 0.500 0.500
0.000 0.000 0.000

11.
PBE GdHgAu2, relaxed; electronic total energy = -5.759 eV/atom; DOS(E_F) = 0.59 states/eV/atom; V = 22.42 A^3/atom
1.0
3.675 0.000 0.000
0.000 3.675 0.000
0.000 0.000 6.642
Au Hg Gd
2 1 1
direct
0.000 0.000 0.751
0.000 0.000 0.249
0.500 0.500 0.500
0.500 0.500 0.000

12.
PBE GdHgAu, relaxed; electronic total energy = -6.484 eV/atom; DOS(E_F) = 0.68 states/eV/atom; V = 23.38 A^3/atom
1.0
-3.403 0.303 0.289
-0.412 -4.838 0.220
0.576 2.578 4.079
Gd Hg Au
1 1 1
direct
0.667 0.667 0.333
0.166 0.000 0.000
0.167 0.333 0.667

13.
PBE GdInHgAu, relaxed; electronic total energy = -5.640 eV/atom; DOS(E_F) = 0.52 states/eV/atom; V = 23.10 A^3/atom
1.0
-2.283 4.170 1.775
-3.824 -0.414 3.311
0.666 1.395 4.833
In Gd Au Hg
1 1 1 1
direct
0.250 0.250 0.250
0.750 0.750 0.750
0.000 0.000 0.000
0.500 0.500 0.500

14.
PBE GdLuHgAu, relaxed; electronic total energy = -6.200 eV/atom; DOS(E_F) = 0.74 states/eV/atom; V = 24.22 A^3/atom
1.0
-3.753 -2.123 2.826
0.849 -1.176 4.947
-2.282 2.735 3.728
Au Gd Hg Lu
1 1 1 1
direct
0.000 0.000 0.000
0.750 0.750 0.750
0.500 0.500 0.500
0.250 0.250 0.250

15.
PBE GdMgHgAu, relaxed; electronic total energy = -5.220 eV/atom; DOS(E_F) = 0.48 states/eV/atom; V = 21.72 A^3/atom
1.0
4.971 0.000 0.000
2.486 4.305 0.000
2.486 1.435 4.059
Mg Hg Au Gd
1 1 1 1
direct
0.500 0.500 0.500
0.250 0.250 0.250
0.000 0.000 0.000
0.750 0.750 0.750

16.
PBE NaGdHgAu, relaxed; electronic total energy = -5.196 eV/atom; DOS(E_F) = 0.87 states/eV/atom; V = 23.69 A^3/atom
1.0
5.117 0.000 0.000
2.559 4.432 0.000
2.559 1.477 4.178
Gd Hg Na Au
1 1 1 1
direct
0.750 0.750 0.750
0.000 0.000 0.000
0.250 0.250 0.250
0.500 0.500 0.500

17.
PBE NdGdHgAu, relaxed; electronic total energy = -6.232 eV/atom; DOS(E_F) = 1.09 states/eV/atom; V = 26.04 A^3/atom
1.0
-0.403 0.325 -5.256
-3.089 -3.384 -2.626
-4.492 1.690 -2.205
Gd Nd Hg Au
1 1 1 1
direct
0.250 0.250 0.250
0.750 0.750 0.750
0.500 0.500 0.500
0.000 0.000 0.000

18.
PBE GdNiHgAu, relaxed; electronic total energy = -6.191 eV/atom; DOS(E_F) = 0.69 states/eV/atom; V = 19.99 A^3/atom
1.0
-0.893 -3.746 -2.925
1.705 -4.389 1.103
-3.038 -3.492 1.401
Ni Au Gd Hg
1 1 1 1
direct
0.500 0.500 0.500
0.000 0.000 0.000
0.750 0.750 0.750
0.250 0.250 0.250

19.
PBE GdHgPdAu, relaxed; electronic total energy = -6.314 eV/atom; DOS(E_F) = 0.60 states/eV/atom; V = 20.99 A^3/atom
1.0
-0.548 -4.411 -2.097
3.891 -2.947 -0.576
0.416 -4.079 2.711
Hg Au Pd Gd
1 1 1 1
direct
0.500 0.500 0.500
0.250 0.250 0.250
0.750 0.750 0.750
0.000 0.000 0.000

20.
PBE PmGdHgAu, relaxed; electronic total energy = -6.235 eV/atom; DOS(E_F) = 1.06 states/eV/atom; V = 25.77 A^3/atom
1.0
-0.564 -5.010 1.508
2.669 -1.813 4.158
-2.541 -1.133 4.467
Pm Hg Au Gd
1 1 1 1
direct
0.750 0.750 0.750
0.500 0.500 0.500
0.000 0.000 0.000
0.250 0.250 0.250

21.
PBE GdHgPtAu, relaxed; electronic total energy = -6.562 eV/atom; DOS(E_F) = 0.45 states/eV/atom; V = 21.05 A^3/atom
1.0
-4.431 -1.676 -1.326
-0.420 -3.120 -3.781
-1.195 -4.703 0.812
Hg Gd Pt Au
1 1 1 1
direct
0.500 0.500 0.500
0.000 0.000 0.000
0.750 0.750 0.750
0.250 0.250 0.250

22.
PBE GdHgRhAu, relaxed; electronic total energy = -6.706 eV/atom; DOS(E_F) = 0.52 states/eV/atom; V = 20.33 A^3/atom
1.0
4.863 0.000 0.000
2.432 4.212 0.000
2.432 1.404 3.971
Hg Au Gd Rh
1 1 1 1
direct
0.500 0.500 0.500
0.750 0.750 0.750
0.000 0.000 0.000
0.250 0.250 0.250

23.
PBE GdScHgAu, relaxed; electronic total energy = -6.592 eV/atom; DOS(E_F) = 0.97 states/eV/atom; V = 23.14 A^3/atom
1.0
-4.718 1.833 -0.395
-2.766 -0.981 -4.143
-3.977 -3.143 0.289
Gd Hg Au Sc
1 1 1 1
direct
0.750 0.750 0.750
0.500 0.500 0.500
0.000 0.000 0.000
0.250 0.250 0.250

24.
PBE GdThHgAu, relaxed; electronic total energy = -6.763 eV/atom; DOS(E_F) = 1.05 states/eV/atom; V = 26.15 A^3/atom
1.0
-0.523 3.840 3.599
-3.036 -0.766 4.262
2.223 -0.526 4.770
Gd Au Hg Th
1 1 1 1
direct
0.750 0.750 0.750
0.000 0.000 0.000
0.500 0.500 0.500
0.250 0.250 0.250

25.
PBE GdTlHgAu, relaxed; electronic total energy = -5.439 eV/atom; DOS(E_F) = 0.70 states/eV/atom; V = 23.93 A^3/atom
1.0
5.134 0.000 0.000
2.567 4.447 0.000
2.567 1.482 4.192
Tl Hg Gd Au
1 1 1 1
direct
0.750 0.750 0.750
0.500 0.500 0.500
0.250 0.250 0.250
0.000 0.000 0.000

26.
PBE GdYHgAu, relaxed; electronic total energy = -6.692 eV/atom; DOS(E_F) = 0.73 states/eV/atom; V = 24.93 A^3/atom
1.0
5.205 0.000 0.000
2.602 4.508 0.000
2.602 1.503 4.250
Y Au Gd Hg
1 1 1 1
direct
0.000 0.000 0.000
0.750 0.750 0.750
0.500 0.500 0.500
0.250 0.250 0.250

27.
PBE GdHoAu, relaxed; electronic total energy = -7.721 eV/atom; DOS(E_F) = 0.81 states/eV/atom; V = 26.67 A^3/atom
1.0
3.837 0.000 0.000
0.000 4.907 0.000
0.000 -2.453 4.249
Ho Gd Au
1 1 1
direct
0.919 0.000 0.000
0.387 0.333 0.667
0.695 0.667 0.333

28.
PBE Gd2HoAu, relaxed; electronic total energy = -9.384 eV/atom; DOS(E_F) = 1.56 states/eV/atom; V = 28.21 A^3/atom
1.0
-2.715 1.788 1.628
1.029 -1.361 3.211
5.136 6.709 1.196
Ho Au Gd
1 1 2
direct
0.500 0.500 0.500
0.500 0.500 0.000
0.000 0.000 0.789
0.000 0.000 0.211

29.
PBE Gd2HoAu, relaxed; electronic total energy = -8.868 eV/atom; DOS(E_F) = 1.35 states/eV/atom; V = 30.15 A^3/atom
1.0
3.502 0.000 0.000
1.751 3.033 0.000
1.751 1.011 11.355
Au Gd Ho
1 2 1
direct
0.000 0.000 0.000
0.083 0.083 0.750
0.917 0.917 0.250
0.500 0.500 0.500

30.
PBE GdHoAu, relaxed; electronic total energy = -7.864 eV/atom; DOS(E_F) = 1.12 states/eV/atom; V = 26.58 A^3/atom
1.0
3.610 0.000 0.000
0.000 3.610 0.000
-1.805 -1.805 6.118
Au Gd Ho
1 1 1
direct
0.944 0.944 0.887
0.599 0.599 0.197
0.308 0.308 0.616

31.
PBE GdHoAu, relaxed; electronic total energy = -7.756 eV/atom; DOS(E_F) = 1.26 states/eV/atom; V = 29.20 A^3/atom
1.0
-3.527 3.496 0.439
-3.005 1.007 -3.848
-4.805 -1.315 0.179
Gd Ho Au
1 1 1
direct
0.000 0.000 0.000
0.500 0.500 0.500
0.250 0.250 0.250